1.
This record from Alexandria via LeMat-Bulk describes CaPmBeZn after structural relaxation. The functional is PBE.

Structure (CIF):
```
data_CaPmBeZn
_chemical_formula_sum 'Ca1 Pm1 Be1 Zn1'
_space_group_name_H-M_alt 'P 1'
_space_group_IT_number 1
_cell_length_a 5.0683
_cell_length_b 5.0683
_cell_length_c 5.0683
_cell_angle_alpha 60.00
_cell_angle_beta 60.00
_cell_angle_gamma 60.00
loop_
_space_group_symop_operation_xyz
'x,y,z'
loop_
_atom_site_label
_atom_site_type_symbol
_atom_site_fract_x
_atom_site_fract_y
_atom_site_fract_z
Be1 Be 0.5000 0.5000 0.5000
Zn1 Zn 0.0000 0.0000 0.0000
Ca1 Ca 0.7500 0.7500 0.7500
Pm1 Pm 0.2500 0.2500 0.2500
```

Summary:
The value obtained for the energy is -11.78 eV per cell. As for the crystal system: cubic.

=====

2.
This record from Alexandria via LeMat-Bulk describes Er6Tm12Mg after structural relaxation. The functional is PBE.

Structure (CIF):
```
data_Er6Tm12Mg
_chemical_formula_sum 'Er6 Tm12 Mg1'
_space_group_name_H-M_alt 'P 1'
_space_group_IT_number 1
_cell_length_a 8.4804
_cell_length_b 8.4804
_cell_length_c 8.4804
_cell_angle_alpha 97.70
_cell_angle_beta 97.70
_cell_angle_gamma 97.70
loop_
_space_group_symop_operation_xyz
'x,y,z'
loop_
_atom_site_label
_atom_site_type_symbol
_atom_site_fract_x
_atom_site_fract_y
_atom_site_fract_z
Er1 Er 0.1380 0.1383 0.4100
Er2 Er 0.8617 0.5900 0.8620
Er3 Er 0.5900 0.8620 0.8617
Er4 Er 0.8620 0.8617 0.5900
Er5 Er 0.1383 0.4100 0.1380
Er6 Er 0.4100 0.1380 0.1383
Tm1 Tm 0.5935 0.1659 0.5934
Tm2 Tm 0.1659 0.5934 0.5935
Tm3 Tm 0.5934 0.5935 0.1659
Tm4 Tm 0.4065 0.8341 0.4066
Tm5 Tm 0.8341 0.4066 0.4065
Tm6 Tm 0.4066 0.4065 0.8341
Tm7 Tm 0.2613 0.0002 0.7386
Tm8 Tm 0.2614 0.7387 0.9998
Tm9 Tm 0.9998 0.2614 0.7387
Tm10 Tm 0.7387 0.9998 0.2614
Tm11 Tm 0.7386 0.2613 0.0002
Tm12 Tm 0.0002 0.7386 0.2613
Mg1 Mg 0.0000 0.0000 0.0000
```

Summary:
As for the polymorph energy (0 for the lowest one): 5 kJ/mol of formula units. As for the crystal system: trigonal.